CsTa2OsN | PBE | optimized geometry

Unit cell a=4.535 b=4.535 c=4.142 alpha=90.00 beta=90.00 gamma=90.00
Space group P4/mmm (No. 123)
Asymmetric unit:
Cs: 0.000 0.000 0.000 (multiplicity 1)
Ta: 0.000 0.500 0.500 (multiplicity 2)
Os: 0.500 0.500 0.000 (multiplicity 1)
N: 0.500 0.500 0.500 (multiplicity 1)

Formation energy (no corrections) (eV per atom): 1.246
Fermi-level density of states (states/eV/f.u.): 6.23
E (eV per atom): -7.5766



CsTe2OsN | PBE | optimized geometry

Unit cell a=6.324 b=6.324 c=4.329 alpha=90.00 beta=90.00 gamma=90.00
Space group P4/mmm (No. 123)
Asymmetric unit:
Cs: 0.000 0.000 0.000 (multiplicity 1)
Te: 0.000 0.500 0.000 (multiplicity 2)
Os: 0.500 0.500 0.500 (multiplicity 1)
N: 0.000 0.000 0.500 (multiplicity 1)

Excess energy over the best structure of this formula in the dataset (meV per atom): 2650.6
Formation energy (no corrections) (eV per atom): 2.837
Fermi-level density of states (states/eV/f.u.): 9.60
E (eV per atom): -2.5016



CsTe2OsN | PBE | optimized geometry

Unit cell a=5.962 b=5.962 c=3.725 alpha=90.00 beta=90.00 gamma=90.00
Space group P4/mmm (No. 123)
Asymmetric unit:
Cs: 0.000 0.000 0.000 (multiplicity 1)
Te: 0.000 0.500 0.500 (multiplicity 2)
Os: 0.500 0.500 0.500 (multiplicity 1)
N: 0.500 0.500 0.000 (multiplicity 1)

Excess energy over the best structure of this formula in the dataset (meV per atom): 0.0
Formation energy (no corrections) (eV per atom): 0.186
Fermi-level density of states (states/eV/f.u.): 3.49
E (eV per atom): -5.1523



Cs3PN | PBE | optimized geometry

Unit cell a=5.850 b=5.850 c=5.850 alpha=90.00 beta=90.00 gamma=90.00
Space group Pm-3m (No. 221)
Asymmetric unit:
Cs: 0.000 0.000 0.500 (multiplicity 3)
P: 0.500 0.500 0.500 (multiplicity 1)
N: 0.000 0.000 0.000 (multiplicity 1)

Excess energy over the best structure of this formula in the dataset (meV per atom): 0.0
Formation energy (no corrections) (eV per atom): 0.622
Fermi-level density of states (states/eV/f.u.): 12.26
E (eV per atom): -2.6372



CsPN2 | PBE | optimized geometry

Unit cell a=3.0344 b=3.0344 c=22.4000 alpha=90.00 beta=90.00 gamma=120.00
Space group R-3m (No. 166, hexagonal axes)
Asymmetric unit:
Cs: 0.0000 0.0000 0.0000 (multiplicity 3)
P: 0.0000 0.0000 0.5000 (multiplicity 3)
N: 0.0000 0.0000 0.1268 (multiplicity 6)

Formation energy (no corrections) (eV per atom): 0.857
Fermi-level density of states (states/eV/f.u.): 1.45
E (eV per atom): -4.8716



CsP3N | PBE | optimized geometry

Unit cell a=4.530 b=4.530 c=4.530 alpha=90.00 beta=90.00 gamma=90.00
Space group Pm-3m (No. 221)
Asymmetric unit:
Cs: 0.000 0.000 0.000 (multiplicity 1)
P: 0.000 0.500 0.500 (multiplicity 3)
N: 0.500 0.500 0.500 (multiplicity 1)

Formation energy (no corrections) (eV per atom): 1.242
Fermi-level density of states (states/eV/f.u.): 3.27
E (eV per atom): -3.8397



Cs2P2N | PBE | optimized geometry

Unit cell a=6.979 b=6.979 c=10.969 alpha=90.00 beta=90.00 gamma=90.00
Space group I4/mmm (No. 139)
Asymmetric unit:
Cs: 0.000 0.500 0.250 (multiplicity 4)
P: 0.000 0.000 0.146 (multiplicity 4)
N: 0.000 0.000 0.000 (multiplicity 2)

Formation energy (no corrections) (eV per atom): -0.096
Fermi-level density of states (states/eV/f.u.): 4.81
E (eV per atom): -4.2667



CsPN2 | PBE | optimized geometry

Unit cell a=6.707 b=11.327 c=4.575 alpha=90.00 beta=108.71 gamma=90.00
Space group C2/c (No. 15)
Asymmetric unit:
Cs: 0.000 0.156 0.250 (multiplicity 4)
P: 0.000 0.499 0.750 (multiplicity 4)
N: 0.138 0.424 0.067 (multiplicity 8)

Formation energy (no corrections) (eV per atom): -0.537
Fermi-level density of states (states/eV/f.u.): 0.00
E (eV per atom): -6.2657



CsP4N7 | PBE | optimized geometry

Unit cell a=10.073 b=12.545 c=4.759 alpha=90.00 beta=90.00 gamma=90.00
Space group Pnma (No. 62)
Asymmetric unit:
Cs: 0.143 0.250 0.224 (multiplicity 4)
P: 0.089 0.629 0.218 (multiplicity 8)
P: 0.158 0.501 0.727 (multiplicity 8)
N: 0.058 0.095 0.682 (multiplicity 8)
N: 0.119 0.605 0.892 (multiplicity 8)
N: 0.120 0.750 0.297 (multiplicity 4)
N: 0.202 0.546 0.393 (multiplicity 8)

Formation energy (no corrections) (eV per atom): -0.465
Fermi-level density of states (states/eV/f.u.): 0.00
E (eV per atom): -7.1958



Cs2PaP2N6 | PBE | optimized geometry

Unit cell a=5.9516 b=5.9516 c=21.1557 alpha=90.00 beta=90.00 gamma=120.00
Space group R-3m (No. 166, hexagonal axes)
Asymmetric unit:
Cs: 0.0000 0.0000 0.2075 (multiplicity 6)
Pa: 0.0000 0.0000 0.0000 (multiplicity 3)
P: 0.0000 0.0000 0.3939 (multiplicity 6)
N: 0.0268 0.5134 0.2709 (multiplicity 18)

Formation energy (no corrections) (eV per atom): -0.607
Fermi-level density of states (states/eV/f.u.): 4.50
E (eV per atom): -7.1502



CsPa2PN5 | PBE | optimized geometry

Unit cell a=6.837 b=6.837 c=10.892 alpha=90.00 beta=90.00 gamma=90.00
Space group I4/mcm (No. 140)
Asymmetric unit:
Cs: 0.000 0.000 0.250 (multiplicity 4)
Pa: 0.196 0.304 0.000 (multiplicity 8)
P: 0.000 0.500 0.250 (multiplicity 4)
N: 0.000 0.000 0.000 (multiplicity 4)
N: 0.126 0.374 0.359 (multiplicity 16)

Formation energy (no corrections) (eV per atom): -0.810
Fermi-level density of states (states/eV/f.u.): 3.01
E (eV per atom): -8.2410



CsPaPN4 | PBE | optimized geometry

Unit cell a=5.654 b=5.586 c=8.470 alpha=90.00 beta=108.01 gamma=90.00
Space group P2_1/m (No. 11)
Asymmetric unit:
Cs: 0.210 0.250 0.433 (multiplicity 2)
Pa: 0.263 0.250 0.954 (multiplicity 2)
P: 0.268 0.750 0.146 (multiplicity 2)
N: 0.073 0.750 0.954 (multiplicity 2)
N: 0.090 0.750 0.265 (multiplicity 2)
N: 0.458 0.520 0.158 (multiplicity 4)

Formation energy (no corrections) (eV per atom): -0.707
Fermi-level density of states (states/eV/f.u.): 5.33
E (eV per atom): -7.7161